--- A ---
# PuZn9Cu2 (PBE, optimized geometry)
data_PuZn9Cu2
_chemical_formula_sum 'Pu4 Zn36 Cu8'
_symmetry_space_group_name_H-M 'I 41/a m d'
_symmetry_Int_Tables_number 141
_cell_length_a 10.503
_cell_length_b 10.503
_cell_length_c 6.755
_cell_angle_alpha 90.00
_cell_angle_beta 90.00
_cell_angle_gamma 90.00
loop_
_symmetry_equiv_pos_as_xyz
'x,y,z'
'-x,-y,-z'
'-y+1/4,x+3/4,z+1/4'
'y+1/4,-x+3/4,-z+1/4'
'-x+1/2,-y,z+1/2'
'x+1/2,y,-z+1/2'
'y+1/4,-x+1/4,z+3/4'
'-y+1/4,x+1/4,-z+3/4'
'x,-y,-z'
'-x,y,z'
'-y+1/4,-x+1/4,-z+3/4'
'y+1/4,x+1/4,z+3/4'
'-x+1/2,y,-z+1/2'
'x+1/2,-y,z+1/2'
'y+1/4,x+3/4,-z+1/4'
'-y+1/4,-x+3/4,z+1/4'
'x+1/2,y+1/2,z+1/2'
'-x+1/2,-y+1/2,-z+1/2'
'-y+3/4,x+1/4,z+3/4'
'y+3/4,-x+1/4,-z+3/4'
'-x,-y+1/2,z'
'x,y+1/2,-z'
'y+3/4,-x+3/4,z+1/4'
'-y+3/4,x+3/4,-z+1/4'
'x+1/2,-y+1/2,-z+1/2'
'-x+1/2,y+1/2,z+1/2'
'-y+3/4,-x+3/4,-z+1/4'
'y+3/4,x+3/4,z+1/4'
'-x,y+1/2,-z'
'x,-y+1/2,z'
'y+3/4,x+1/4,-z+3/4'
'-y+3/4,-x+1/4,z+3/4'
loop_
_atom_site_label
_atom_site_type_symbol
_atom_site_fract_x
_atom_site_fract_y
_atom_site_fract_z
Pu1 Pu 0.000 0.250 0.375
Zn1 Zn 0.000 0.250 0.875
Zn2 Zn 0.121 0.046 0.682
Cu1 Cu 0.000 0.000 0.000
# spin magnetization	5.43	μB/f.u.
# calculated volume	745.2	Å³ per cell

---

--- B ---
# PuZn9Cu2 (PBE, optimized geometry)
data_PuZn9Cu2
_chemical_formula_sum 'Pu1 Zn9 Cu2'
_symmetry_space_group_name_H-M 'P 6/m m m'
_symmetry_Int_Tables_number 191
_symmetry_space_group_name_Hall '-P 6 2'
_cell_length_a 8.6048
_cell_length_b 8.6048
_cell_length_c 2.9098
_cell_angle_alpha 90.00
_cell_angle_beta 90.00
_cell_angle_gamma 120.00
loop_
_atom_site_label
_atom_site_type_symbol
_atom_site_fract_x
_atom_site_fract_y
_atom_site_fract_z
Pu1 Pu 0.0000 0.0000 0.0000
Zn1 Zn 0.0000 0.5000 0.0000
Zn2 Zn 0.1866 0.3732 0.5000
Cu1 Cu 0.3333 0.6667 0.0000
# spin magnetization	5.19	μB/f.u.
# calculated volume	186.6	Å³ per cell

---

Energy ordering: A at the bottom, the next structure 7.1 kJ/mol of atoms above.

---

--- A ---
# PuZn4Cu (PBE, optimized geometry)
data_PuZn4Cu
_chemical_formula_sum 'Pu2 Zn8 Cu2'
_symmetry_space_group_name_H-M 'P m m a'
_symmetry_Int_Tables_number 51
_cell_length_a 7.637
_cell_length_b 3.940
_cell_length_c 6.950
_cell_angle_alpha 90.00
_cell_angle_beta 90.00
_cell_angle_gamma 90.00
loop_
_symmetry_equiv_pos_as_xyz
'x,y,z'
'-x,-y,-z'
'-x+1/2,-y,z'
'x+1/2,y,-z'
'x+1/2,-y,-z'
'-x+1/2,y,z'
'-x,y,-z'
'x,-y,z'
loop_
_atom_site_label
_atom_site_type_symbol
_atom_site_fract_x
_atom_site_fract_y
_atom_site_fract_z
Pu1 Pu 0.250 0.000 0.116
Zn1 Zn 0.000 0.000 0.500
Zn2 Zn 0.056 0.500 0.807
Zn3 Zn 0.250 0.500 0.450
Cu1 Cu 0.250 0.000 0.707
# spin magnetization	5.55	μB/f.u.
# calculated volume	209.1	Å³ per cell

---

--- B ---
# PuZn4Cu (PBE, optimized geometry)
data_PuZn4Cu
_chemical_formula_sum 'Pu4 Zn16 Cu4'
_symmetry_space_group_name_H-M 'F -4 3 m'
_symmetry_Int_Tables_number 216
_symmetry_space_group_name_Hall 'F -4 2 3'
_cell_length_a 7.459
_cell_length_b 7.459
_cell_length_c 7.459
_cell_angle_alpha 90.00
_cell_angle_beta 90.00
_cell_angle_gamma 90.00
loop_
_atom_site_label
_atom_site_type_symbol
_atom_site_fract_x
_atom_site_fract_y
_atom_site_fract_z
Pu1 Pu 0.000 0.000 0.000
Zn1 Zn 0.124 0.124 0.376
Cu1 Cu 0.250 0.250 0.750
# spin magnetization	6.14	μB/f.u.
# calculated volume	415.0	Å³ per cell

---

Energy ordering: A at the bottom, the next structure 10.4 kJ/mol of atoms above.

---

--- A ---
# RbCuRe2 (PBE, optimized geometry)
data_RbCuRe2
_chemical_formula_sum 'Rb4 Cu4 Re8'
_symmetry_space_group_name_H-M 'F m -3 m'
_symmetry_Int_Tables_number 225
_symmetry_space_group_name_Hall '-F 4 2 3'
_cell_length_a 6.443
_cell_length_b 6.443
_cell_length_c 6.443
_cell_angle_alpha 90.00
_cell_angle_beta 90.00
_cell_angle_gamma 90.00
loop_
_atom_site_label
_atom_site_type_symbol
_atom_site_fract_x
_atom_site_fract_y
_atom_site_fract_z
Rb1 Rb 0.000 0.000 0.000
Cu1 Cu 0.000 0.000 0.500
Re1 Re 0.250 0.250 0.250
# spin magnetization	0.00	μB/f.u.
# calculated volume	267.5	Å³ per cell

---

--- B ---
# RbCuRe2 (PBE, optimized geometry)
data_RbCuRe2
_chemical_formula_sum 'Rb4 Cu4 Re8'
_symmetry_space_group_name_H-M 'I -4 2 d'
_symmetry_Int_Tables_number 122
_symmetry_space_group_name_Hall 'I -4 2bw'
_cell_length_a 4.711
_cell_length_b 4.711
_cell_length_c 18.627
_cell_angle_alpha 90.00
_cell_angle_beta 90.00
_cell_angle_gamma 90.00
loop_
_atom_site_label
_atom_site_type_symbol
_atom_site_fract_x
_atom_site_fract_y
_atom_site_fract_z
Rb1 Rb 0.000 0.000 0.000
Cu1 Cu 0.000 0.000 0.500
Re1 Re 0.036 0.750 0.625
# spin magnetization	0.00	μB/f.u.
# calculated volume	413.5	Å³ per cell

---

Energy ordering: B at the bottom, the next structure 60.0 kJ/mol of atoms above.

---

--- A ---
# RbCuRh2 (PBE, optimized geometry)
data_RbCuRh2
_chemical_formula_sum 'Rb4 Cu4 Rh8'
_symmetry_space_group_name_H-M 'F m -3 m'
_symmetry_Int_Tables_number 225
_symmetry_space_group_name_Hall '-F 4 2 3'
_cell_length_a 6.614
_cell_length_b 6.614
_cell_length_c 6.614
_cell_angle_alpha 90.00
_cell_angle_beta 90.00
_cell_angle_gamma 90.00
loop_
_atom_site_label
_atom_site_type_symbol
_atom_site_fract_x
_atom_site_fract_y
_atom_site_fract_z
Rb1 Rb 0.000 0.000 0.000
Cu1 Cu 0.000 0.000 0.500
Rh1 Rh 0.250 0.250 0.250
# spin magnetization	1.51	μB/f.u.
# calculated volume	289.4	Å³ per cell

---

--- B ---
# RbCuRh2 (PBE, optimized geometry)
data_RbCuRh2
_chemical_formula_sum 'Rb4 Cu4 Rh8'
_symmetry_space_group_name_H-M 'I 41/a m d'
_symmetry_Int_Tables_number 141
_cell_length_a 4.827
_cell_length_b 4.827
_cell_length_c 17.881
_cell_angle_alpha 90.00
_cell_angle_beta 90.00
_cell_angle_gamma 90.00
loop_
_symmetry_equiv_pos_as_xyz
'x,y,z'
'-x,-y,-z'
'-y+1/4,x+3/4,z+1/4'
'y+1/4,-x+3/4,-z+1/4'
'-x+1/2,-y,z+1/2'
'x+1/2,y,-z+1/2'
'y+1/4,-x+1/4,z+3/4'
'-y+1/4,x+1/4,-z+3/4'
'x,-y,-z'
'-x,y,z'
'-y+1/4,-x+1/4,-z+3/4'
'y+1/4,x+1/4,z+3/4'
'-x+1/2,y,-z+1/2'
'x+1/2,-y,z+1/2'
'y+1/4,x+3/4,-z+1/4'
'-y+1/4,-x+3/4,z+1/4'
'x+1/2,y+1/2,z+1/2'
'-x+1/2,-y+1/2,-z+1/2'
'-y+3/4,x+1/4,z+3/4'
'y+3/4,-x+1/4,-z+3/4'
'-x,-y+1/2,z'
'x,y+1/2,-z'
'y+3/4,-x+3/4,z+1/4'
'-y+3/4,x+3/4,-z+1/4'
'x+1/2,-y+1/2,-z+1/2'
'-x+1/2,y+1/2,z+1/2'
'-y+3/4,-x+3/4,-z+1/4'
'y+3/4,x+3/4,z+1/4'
'-x,y+1/2,-z'
'x,-y+1/2,z'
'y+3/4,x+1/4,-z+3/4'
'-y+3/4,-x+1/4,z+3/4'
loop_
_atom_site_label
_atom_site_type_symbol
_atom_site_fract_x
_atom_site_fract_y
_atom_site_fract_z
Rb1 Rb 0.000 0.250 0.375
Cu1 Cu 0.000 0.250 0.875
Rh1 Rh 0.000 0.000 0.000
# spin magnetization	0.00	μB/f.u.
# calculated volume	416.5	Å³ per cell

---

Energy ordering: B at the bottom, the next structure 30.8 kJ/mol of atoms above.

---

--- A ---
# RbCuRhSe2 (PBE, optimized geometry)
data_RbCuRhSe2
_chemical_formula_sum 'Rb1 Cu1 Rh1 Se2'
_symmetry_space_group_name_H-M 'P 4/m m m'
_symmetry_Int_Tables_number 123
_symmetry_space_group_name_Hall '-P 4 2'
_cell_length_a 4.857
_cell_length_b 4.857
_cell_length_c 5.352
_cell_angle_alpha 90.00
_cell_angle_beta 90.00
_cell_angle_gamma 90.00
loop_
_atom_site_label
_atom_site_type_symbol
_atom_site_fract_x
_atom_site_fract_y
_atom_site_fract_z
Rb1 Rb 0.000 0.000 0.000
Cu1 Cu 0.000 0.000 0.500
Rh1 Rh 0.500 0.500 0.000
Se1 Se 0.000 0.500 0.500
# spin magnetization	1.59	μB/f.u.
# calculated volume	126.3	Å³ per cell

---

--- B ---
# RbCuRhSe2 (PBE, optimized geometry)
data_RbCuRhSe2
_chemical_formula_sum 'Rb4 Cu4 Rh4 Se8'
_symmetry_space_group_name_H-M 'C m m e'
_symmetry_Int_Tables_number 67
_symmetry_space_group_name_Hall '-C 2a 2'
_cell_length_a 5.566
_cell_length_b 13.537
_cell_length_c 6.969
_cell_angle_alpha 90.00
_cell_angle_beta 90.00
_cell_angle_gamma 90.00
loop_
_atom_site_label
_atom_site_type_symbol
_atom_site_fract_x
_atom_site_fract_y
_atom_site_fract_z
Rb1 Rb 0.000 0.250 0.230
Cu1 Cu 0.000 0.000 0.500
Rh1 Rh 0.250 0.000 0.000
Se1 Se 0.000 0.096 0.773
# spin magnetization	0.00	μB/f.u.
# calculated volume	525.1	Å³ per cell

---

Energy ordering: B at the bottom, the next structure 102.9 kJ/mol of atoms above.

---

--- A ---
# RbCu3Ru (PBE, optimized geometry)
data_RbCu3Ru
_chemical_formula_sum 'Rb1 Cu3 Ru1'
_symmetry_space_group_name_H-M 'P m -3 m'
_symmetry_Int_Tables_number 221
_symmetry_space_group_name_Hall '-P 4 2 3'
_cell_length_a 4.869
_cell_length_b 4.869
_cell_length_c 4.869
_cell_angle_alpha 90.00
_cell_angle_beta 90.00
_cell_angle_gamma 90.00
loop_
_atom_site_label
_atom_site_type_symbol
_atom_site_fract_x
_atom_site_fract_y
_atom_site_fract_z
Rb1 Rb 0.000 0.000 0.000
Cu1 Cu 0.000 0.000 0.500
Ru1 Ru 0.500 0.500 0.500
# spin magnetization	1.33	μB/f.u.
# calculated volume	115.5	Å³ per cell

---

--- B ---
# RbCu3Ru (PBE, optimized geometry)
data_RbCu3Ru
_chemical_formula_sum 'Rb1 Cu3 Ru1'
_symmetry_space_group_name_H-M 'P m -3 m'
_symmetry_Int_Tables_number 221
_symmetry_space_group_name_Hall '-P 4 2 3'
_cell_length_a 4.870
_cell_length_b 4.870
_cell_length_c 4.870
_cell_angle_alpha 90.00
_cell_angle_beta 90.00
_cell_angle_gamma 90.00
loop_
_atom_site_label
_atom_site_type_symbol
_atom_site_fract_x
_atom_site_fract_y
_atom_site_fract_z
Rb1 Rb 0.000 0.000 0.000
Cu1 Cu 0.000 0.500 0.500
Ru1 Ru 0.500 0.500 0.500
# spin magnetization	2.05	μB/f.u.
# calculated volume	115.5	Å³ per cell

---

Energy ordering: B at the bottom, the next structure 146.9 kJ/mol of atoms above.